## Ac2Zn2AgPt5 (PBE-GGA)

Data for a relaxed Ac2Zn2AgPt5 crystal.

abc: 10.033 10.033 3.911
angles: 90.00 90.00 90.00
Space group P4/mbm (No. 127)
One atom of each set of equivalent atoms:
Ac 0.182 0.318 0.000 [4 per cell]
Zn 0.116 0.616 0.000 [4 per cell]
Ag 0.000 0.000 0.000 [2 per cell]
Pt 0.000 0.500 0.500 [2 per cell]
Pt 0.060 0.791 0.500 [8 per cell]

Output
Calculated total energy ... -5.03 eV/atom
Size of the total moment ... 0.00 μB per formula unit